No. 1
Compound: LaNdSmTh
Source: Alexandria via LeMat-Bulk
Functional: PBE
Structure: optimized geometry

The structure in POSCAR format:
```
LaNdSmTh
1.0
0.000 4.105 4.105
4.105 0.000 4.105
4.105 4.105 0.000
La Nd Sm Th
1 1 1 1
Cartesian
0.000 0.000 0.000 La
4.105 4.105 4.105 Nd
2.052 2.052 2.052 Sm
6.157 6.157 6.157 Th
```

Results
total DFT energy (no corrections) = -5.2510 eV per atom
formation enthalpy at 0 K = 207.6 meV/atom
energy above the lowest structure with this stoichiometry = 4.10 kcal/mol of atoms
SG = F-43m

***

No. 2
Compound: PmSmYTm
Source: Alexandria via LeMat-Bulk
Functional: PBE
Structure: optimized geometry

The structure in POSCAR format:
```
PmSmYTm
1.0
0.000 4.042 4.042
4.042 0.000 4.042
4.042 4.042 0.000
Pm Sm Y Tm
1 1 1 1
Cartesian
0.000 0.000 0.000 Pm
6.063 6.063 6.063 Sm
2.021 2.021 2.021 Y
4.042 4.042 4.042 Tm
```

Results
total DFT energy (no corrections) = -4.9573 eV per atom
formation enthalpy at 0 K = 144.1 meV/atom
energy above the lowest structure with this stoichiometry = 0.44 kcal/mol of atoms
SG = F-43m

***

No. 3
Compound: Co6Ni5Ir
Source: Alexandria via LeMat-Bulk
Functional: PBE
Structure: optimized geometry

The structure in POSCAR format:
```
Co6Ni5Ir
1.0
-1.775 3.612 5.288
1.775 -3.612 5.288
1.775 3.612 -5.288
Co Ni Ir
6 5 1
Cartesian
1.775 1.788 -1.787 Co
0.000 1.770 0.000 Co
1.775 1.788 1.787 Co
0.000 1.824 3.502 Co
0.000 5.455 0.000 Co
0.000 1.824 7.075 Co
1.775 0.000 0.000 Ni
0.000 0.000 1.739 Ni
1.775 0.000 3.475 Ni
0.000 3.612 1.813 Ni
0.000 0.000 8.837 Ni
0.000 0.000 5.288 Ir
```

Results
total DFT energy (no corrections) = -6.6854 eV per atom
formation enthalpy at 0 K = 14.8 meV/atom
energy above the lowest structure with this stoichiometry = 0.07 kcal/mol of atoms
SG = Immm

***

No. 4
Compound: Mg2TcAu
Source: Alexandria via LeMat-Bulk
Functional: PBE
Structure: optimized geometry

The structure in POSCAR format:
```
Mg2TcAu
1.0
-1.968 1.968 4.377
1.968 -1.968 4.377
1.968 1.968 -4.377
Mg Tc Au
2 1 1
Cartesian
0.000 0.000 0.000 Mg
0.000 1.968 2.189 Mg
1.968 0.000 2.189 Tc
0.000 0.000 4.377 Au
```

Results
total DFT energy (no corrections) = -4.1409 eV per atom
formation enthalpy at 0 K = 67.2 meV/atom
energy above the lowest structure with this stoichiometry = 3.02 kcal/mol of atoms
SG = I-4m2